Na3TlB | Alexandria | GGA-PBE | relaxed; DOS at the Fermi energy = 0.857 states/eV per atom; ΔE to the lowest computed polymorph = 0.528 eV/atom; energy of formation = 113.4 kJ per mole of atoms
1.0
-2.983 4.773 1.384
-4.809 -2.365 -2.208
-1.254 -2.285 5.178
Na Tl B
3 1 1
Cartesian
-2.405 -1.183 -1.104
-0.627 -1.142 2.589
-1.492 2.387 0.692
0.000 0.000 0.000
-4.523 0.062 2.177



HfHgOs3 | Alexandria | GGA-PBE | relaxed; DOS at the Fermi energy = 1.221 states/eV per atom; ΔE to the lowest computed polymorph = 0.000 eV/atom; energy of formation = 220.8 kJ per mole of atoms
1.0
4.838 0.000 0.000
0.000 4.838 0.000
0.000 0.000 4.838
Hf Os Hg
1 3 1
Cartesian
0.000 0.000 0.000
0.000 0.000 2.419
2.419 0.000 0.000
0.000 2.419 0.000
2.419 2.419 2.419



YMg3Rh | Alexandria | GGA-PBE | relaxed; DOS at the Fermi energy = 0.584 states/eV per atom; ΔE to the lowest computed polymorph = 0.000 eV/atom; energy of formation = -36.5 kJ per mole of atoms
1.0
4.935 0.000 -2.190
0.000 5.836 0.000
-0.125 0.000 7.741
Mg Y Rh
6 2 2
Cartesian
1.546 1.146 -0.128
1.546 4.079 -0.128
3.488 4.064 2.202
4.350 2.612 -0.625
0.684 5.530 2.699
3.488 1.161 2.202
3.442 5.530 5.212
1.467 2.612 4.603
4.259 2.612 4.369
0.650 5.530 5.446



Ag2Pb2Br7 | Alexandria | GGA-PBE | relaxed; DOS at the Fermi energy = 0.747 states/eV per atom; ΔE_f (raw) = -5.3 eV/f.u.; ΔE to the lowest computed polymorph = 0.059 eV/atom
1.0
-1.309 -7.123 0.098
1.619 -0.211 6.787
-6.291 3.216 1.593
Br Pb Ag
7 2 2
Cartesian
-1.944 1.449 5.824
-3.414 -2.001 2.466
-4.036 -5.567 2.655
0.000 0.000 0.000
-5.745 -0.505 6.670
-0.236 -3.613 1.809
-2.566 -2.116 6.012
-4.894 -3.038 4.663
-1.086 -1.080 3.816
-0.887 -4.850 7.245
-5.094 0.732 1.234



Ta2PtPb | Alexandria | GGA-PBE | relaxed; DOS at the Fermi energy = 0.802 states/eV per atom; energy of formation = 16.0 kJ per mole of atoms
1.0
5.221 -0.027 -0.086
-2.011 4.819 -0.086
0.050 0.074 2.981
Pb Ta Pt
1 2 1
Cartesian
2.636 0.024 1.447
1.605 2.396 -0.086
0.000 0.000 0.000
-0.981 2.446 1.447



TlCrPb2 | Alexandria | GGA-PBE | relaxed; DOS at the Fermi energy = 0.583 states/eV per atom; ΔE to the lowest computed polymorph = 0.224 eV/atom; energy of formation = 49.7 kJ per mole of atoms
1.0
4.590 0.000 0.000
0.000 4.590 0.000
2.295 2.295 10.902
Pb Cr Tl
4 2 2
Cartesian
3.442 3.493 8.176
5.737 5.687 8.176
3.392 1.147 2.725
1.198 3.442 2.725
2.295 4.590 5.451
2.295 2.295 0.000
4.590 2.295 5.451
0.000 0.000 0.000